Below is crystalline CsInH2 at its relaxed geometry, with properties calculated at the PBE-GGA level.

Cell and atoms, written as POSCAR:
```
CsInH2
1.0
-1.332 3.934 -4.906
1.927 -6.025 -1.143
-7.431 -2.395 0.097
In H Cs
3 6 3
Cartesian
-4.898 -6.044 -0.688
-1.043 -1.085 -1.969
-2.683 -4.579 -4.391
-5.531 -0.559 -4.512
-3.047 0.290 -2.718
-0.088 -0.442 -3.623
-3.652 -5.181 -2.729
-1.733 -2.662 -3.018
-6.457 -4.902 -1.259
-0.886 2.619 -3.266
-4.755 -2.296 -1.958
-1.194 -4.809 -0.729
```

**Total magnetization**: 0.000 μB/atom
**Space-group type**: P3_121 (152)
**Excess energy over the best structure of this formula in the dataset**: 0.000 eV per atom